# 1
Gd3Co4Sn13 | PBE | relaxed

The structure in POSCAR format:
```
Gd3Co4Sn13
1.0
9.574 0.000 0.000
0.000 9.574 0.000
0.000 0.000 9.574
Sn Gd Co
26 6 8
Cartesian
4.787 4.787 4.787
6.296 1.877 4.787
3.278 1.877 4.787
0.000 0.000 0.000
1.509 0.000 6.664
0.000 2.910 8.065
7.696 4.787 3.278
8.065 0.000 6.664
1.877 4.787 3.278
6.296 7.696 4.787
4.787 6.296 1.877
1.877 4.787 6.296
4.787 3.278 7.696
0.000 6.664 8.065
4.787 3.278 1.877
6.664 8.065 0.000
6.664 1.509 0.000
1.509 0.000 2.910
2.910 8.065 0.000
8.065 0.000 2.910
3.278 7.696 4.787
0.000 2.910 1.509
2.910 1.509 0.000
7.696 4.787 6.296
4.787 6.296 7.696
0.000 6.664 1.509
2.393 4.787 0.000
4.787 0.000 2.393
7.180 4.787 0.000
0.000 7.180 4.787
4.787 0.000 7.180
0.000 2.393 4.787
2.393 2.393 7.180
2.393 7.180 7.180
7.180 2.393 2.393
7.180 7.180 7.180
2.393 7.180 2.393
2.393 2.393 2.393
7.180 7.180 2.393
7.180 2.393 7.180
```

Summary:
SG = Pm-3n
DFT total energy = -101.3 eV per formula unit


# 2
TmRe2 | PBE | relaxed

The structure in POSCAR format:
```
TmRe2
1.0
-4.857 -1.445 -1.792
2.575 -3.085 3.569
-3.743 4.456 6.551
Re Tm
8 4
Cartesian
-1.994 -2.392 3.418
-0.885 -0.191 2.554
-4.030 2.318 4.911
0.366 -1.690 4.289
-1.871 2.228 3.276
-6.390 1.616 4.040
-5.139 0.117 5.775
0.000 0.000 0.000
-4.017 -0.043 2.861
-2.008 -0.032 5.468
-2.614 -1.713 0.405
-3.411 1.639 7.924
```

Summary:
SG = P6_3/mmc
energy of formation = -0.2810 eV/atom


# 3
TbCdAsO | PBE | relaxed

The structure in POSCAR format:
```
TbCdAsO
1.0
4.512 0.000 0.000
0.000 6.197 0.000
0.000 0.000 6.121
Cd Tb As O
2 2 2 2
Cartesian
2.256 5.335 0.238
2.256 0.862 3.298
0.000 4.569 2.538
0.000 1.628 5.599
0.000 1.659 2.401
0.000 4.538 5.461
2.256 1.326 5.559
2.256 4.871 2.499
```

Summary:
SG = Pmc2_1
DFT total energy = -21.0 eV per formula unit


# 4
TbNdZn2Sn2 | PBE | relaxed

The structure in POSCAR format:
```
TbNdZn2Sn2
1.0
-2.493 2.266 -3.069
3.238 -2.894 -1.383
-10.785 -12.013 -0.113
Nd Tb Zn Sn
2 2 4 4
Cartesian
-8.089 -9.010 -0.084
-2.696 -3.003 -0.028
-5.392 -6.007 -0.056
0.000 0.000 0.000
-5.742 -9.049 -2.019
-2.260 -1.322 -2.525
-7.780 -11.318 -2.040
-4.298 -3.592 -2.546
-10.158 -10.119 -2.607
-2.855 -5.833 -1.989
-7.184 -6.808 -2.576
0.118 -2.521 -1.958
```

Summary:
SG = P6_3/mmc
E above lowest polymorph = 18 meV/atom


# 5
Ag2BPt | PBE | relaxed

The structure in POSCAR format:
```
Ag2BPt
1.0
-0.158 2.834 3.310
-3.736 2.039 0.948
-2.176 -1.017 3.639
Ag Pt B
2 1 1
Cartesian
0.000 0.000 0.000
-4.553 2.892 5.922
-1.518 0.964 1.974
-3.035 1.928 3.948
```

Summary:
SG = F-43m
DFT total energy = -15.5 eV per formula unit


# 6
Dy3TeS2 | PBE | relaxed

The structure in POSCAR format:
```
Dy3TeS2
1.0
-1.643 -0.872 3.585
3.913 -0.747 -0.663
2.305 9.160 3.284
Dy S Te
3 2 1
Cartesian
2.534 1.089 1.426
1.153 4.580 1.642
2.042 6.453 4.780
1.010 2.353 3.310
3.565 5.189 2.896
0.000 0.000 0.000
```

Summary:
SG = P-3m1
DFT total energy = -35.7 eV per formula unit


# 7
TbGeAsO | PBE | relaxed

The structure in POSCAR format:
```
TbGeAsO
1.0
3.816 0.000 0.000
0.000 6.298 0.000
0.000 0.000 7.003
Tb O Ge As
2 2 2 2
Cartesian
0.000 1.591 6.797
0.000 4.707 3.295
1.908 4.650 2.192
1.908 1.648 5.694
1.908 5.563 0.526
1.908 0.735 4.027
0.000 1.785 2.768
0.000 4.513 6.270
```

Summary:
SG = Pmc2_1
E above lowest polymorph = 110 meV/atom


# 8
SrTbO3 | PBE | relaxed

The structure in POSCAR format:
```
SrTbO3
1.0
-2.229 5.272 1.242
-5.340 -1.932 -1.385
-1.392 -2.761 9.220
Sr O Tb
4 12 4
Cartesian
-1.115 2.636 0.621
-3.366 -2.347 3.918
-2.670 -0.966 -0.692
-1.811 1.255 5.231
-6.305 0.810 6.984
-3.269 2.960 1.562
-2.528 -0.940 5.635
-5.492 -0.806 1.494
-5.693 -2.382 7.516
-2.656 -0.232 2.094
-5.314 -1.631 5.008
-6.434 1.518 3.443
-2.906 -1.691 8.143
-6.055 2.269 0.935
-3.647 2.209 4.070
-3.470 1.384 7.584
-2.676 4.214 3.423
-6.286 -3.636 5.655
-4.474 1.187 2.244
-4.487 -0.609 6.833
```

Summary:
SG = Pnma
DFT total energy = -34.3 eV per formula unit


# 9
Zr3TlS5 | PBE | relaxed

The structure in POSCAR format:
```
Zr3TlS5
1.0
-2.199 -3.155 -4.735
5.715 2.129 -0.143
2.322 -6.035 2.942
S Zr Tl
5 3 1
Cartesian
2.210 -5.996 -0.961
4.848 -4.235 0.570
1.161 -3.017 1.471
0.990 -2.826 -2.506
3.628 -1.065 -0.976
0.061 -4.595 -0.897
4.018 -1.953 1.399
2.919 -3.530 -0.968
0.000 0.000 0.000
```

Summary:
SG = P6/mmm
DFT total energy = -58.5 eV per formula unit


# 10
BeZn | PBE | relaxed

The structure in POSCAR format:
```
BeZn
1.0
4.244 0.000 0.000
0.000 5.791 0.000
0.000 0.000 3.753
Zn Be
4 4
Cartesian
1.871 2.702 1.876
1.664 4.537 0.000
3.996 4.538 1.876
3.788 2.702 0.000
1.303 1.078 0.000
0.111 1.078 1.876
2.233 0.369 1.876
3.425 0.369 0.000
```

Summary:
SG = Pbcm
DFT total energy = -4.8 eV per formula unit


Number 4 is which compound?
TbNdZn2Sn2